The following is a DFT calculation (GGA-PBE) of a relaxed structure of TeI3Br.

Values from the calculation:
energy above the most stable polymorph in this dataset = 729 meV/atom
raw formation energy = 0.58 eV/atom
E_tot = -1.3090 eV per atom
symmetry = Pm-3m (221)

a b c (Å): 5.9814 5.9814 5.9814
angles (deg): 90.00 90.00 90.00
Closest atoms and distances in Å follow each position.
Positions (direct):
I: 0.0000 0.5000 0.0000  2 Br 2.99
I: 0.0000 0.0000 0.5000  2 Br 2.99
I: 0.5000 0.0000 0.0000  2 Br 2.99
Te: 0.5000 0.5000 0.5000  12 I 4.23
Br: 0.0000 0.0000 0.0000  6 I 2.99